The following is a DFT calculation (PBE) of crystalline SmDyY2 at its relaxed geometry.

Lattice parameters (Å, degrees): 3.605 3.604 11.745 81.24 90.00 59.99
Positions (direct):
1 Sm 0.897 0.346 0.874
2 Dy 0.480 0.180 0.623
3 Y 0.064 0.013 0.374
4 Y 0.648 0.845 0.125

* formation enthalpy at 0 K: 0.013 eV per atom
* size of the total moment: 0.0000 μB/atom
* energy above the most stable polymorph in this dataset: 3 meV per atom
* space group: No. 8
* final energy: -0.4079 Ry/atom

---

The following is a DFT calculation (PBE) of crystalline CsUVBr6 at its relaxed geometry.

Lattice parameters (Å, degrees): 7.188 7.188 8.284 90.00 90.00 60.00
Positions (direct):
1 Cs 0.000 0.000 0.000
2 U 0.333 0.333 0.500
3 V 0.667 0.667 0.500
4 Br 0.974 0.378 0.309
5 Br 0.378 0.974 0.691
6 Br 0.648 0.378 0.691
7 Br 0.974 0.648 0.691
8 Br 0.378 0.648 0.309
9 Br 0.648 0.974 0.309

* size of the total moment: 0.6667 μB/atom
* space group: No. 149
* raw formation energy: -1.25 eV per atom
* final energy: -0.3473 Ry/atom